## CaZn2Ir (PBE)

Data for a relaxed structure of CaZn2Ir.

```
CaZn2Ir
1.0
-2.093 2.099 3.874
2.093 -2.099 3.874
2.093 2.099 -3.874
Ca Zn Ir
1 2 1
direct
0.000 0.000 0.000 Ca
0.250 0.750 0.500 Zn
0.750 0.250 0.500 Zn
0.500 0.500 0.000 Ir
```

Properties
Its space group is No. 71. The calculated total energy comes out at -14.4 eV per cell. The value obtained for the energy of formation is -0.247 eV/atom.



## CaZn2Ir (PBE)

Data for a relaxed structure of CaZn2Ir.

```
CaZn2Ir
1.0
3.735 -2.150 0.000
3.735 2.150 0.000
-2.473 0.000 4.992
Ca Zn Ir
1 2 1
direct
0.000 0.000 0.000 Ca
0.206 0.206 0.618 Zn
0.794 0.794 0.382 Zn
0.500 0.500 0.500 Ir
```

Properties
Its space group is No. 12. The calculated total energy comes out at -14.6 eV per cell. The value obtained for the energy of formation is -0.291 eV/atom.



## CaZn2Ir2 (PBE)

Data for a relaxed structure of CaZn2Ir2.

```
CaZn2Ir2
1.0
-2.123 2.123 5.224
2.123 -2.123 5.224
2.123 2.123 -5.224
Ca Zn Ir
1 2 2
direct
0.000 0.000 0.000 Ca
0.250 0.750 0.500 Zn
0.750 0.250 0.500 Zn
0.385 0.385 0.000 Ir
0.615 0.615 0.000 Ir
```

Properties
Its space group is No. 139. The calculated total energy comes out at -23.5 eV per cell. The value obtained for the energy of formation is -0.253 eV/atom.



## CaZn2Ir (PBE)

Data for a relaxed structure of CaZn2Ir.

```
CaZn2Ir
1.0
-1.630 2.358 4.575
1.630 -2.358 4.575
1.630 2.358 -4.575
Ca Zn Ir
1 2 1
direct
0.000 0.000 0.000 Ca
0.490 0.490 0.000 Zn
0.720 0.220 0.500 Zn
0.270 0.770 0.500 Ir
```

Properties
Its space group is No. 44. The calculated total energy comes out at -13.7 eV per cell. The value obtained for the energy of formation is -0.075 eV/atom.



What is the energy of formation in the third record? -0.253 eV/atom



What is the calculated total energy in the second record? -14.6 eV per cell



Copy entry 3 word for word.
## CaZn2Ir2 (PBE)

Data for a relaxed structure of CaZn2Ir2.

```
CaZn2Ir2
1.0
-2.123 2.123 5.224
2.123 -2.123 5.224
2.123 2.123 -5.224
Ca Zn Ir
1 2 2
direct
0.000 0.000 0.000 Ca
0.250 0.750 0.500 Zn
0.750 0.250 0.500 Zn
0.385 0.385 0.000 Ir
0.615 0.615 0.000 Ir
```

Properties
Its space group is No. 139. The calculated total energy comes out at -23.5 eV per cell. The value obtained for the energy of formation is -0.253 eV/atom.



Please write out number 4 again, unchanged.
## CaZn2Ir (PBE)

Data for a relaxed structure of CaZn2Ir.

```
CaZn2Ir
1.0
-1.630 2.358 4.575
1.630 -2.358 4.575
1.630 2.358 -4.575
Ca Zn Ir
1 2 1
direct
0.000 0.000 0.000 Ca
0.490 0.490 0.000 Zn
0.720 0.220 0.500 Zn
0.270 0.770 0.500 Ir
```

Properties
Its space group is No. 44. The calculated total energy comes out at -13.7 eV per cell. The value obtained for the energy of formation is -0.075 eV/atom.